[1]
## PrTh2ScAs4 (GGA-PBE)

Data for crystalline PrTh2ScAs4 at its relaxed geometry.

```
data_PrTh2ScAs4
_chemical_formula_sum 'Pr1 Th2 Sc1 As4'
_cell_length_a 7.211
_cell_length_b 4.207
_cell_length_c 7.279
_cell_angle_alpha 90.00
_cell_angle_beta 109.74
_cell_angle_gamma 90.00
_symmetry_space_group_name_H-M 'P 1 2/m 1'
_symmetry_Int_Tables_number 10
_symmetry_space_group_name_Hall '-P 2y'
loop_
_atom_site_label
_atom_site_fract_x
_atom_site_fract_y
_atom_site_fract_z
Pr1 0.000 0.000 0.000
Th1 0.500 0.000 0.500
Th2 0.500 0.500 0.000
Sc1 0.000 0.500 0.500
As1 0.238 0.000 0.735
As2 0.246 0.500 0.259
```

**Raw total energy**: -6.9525 eV/atom
**DOS at the Fermi energy**: 4.1 states/eV/cell

=====

[2]
## NdCd3Rh (GGA-PBE)

Data for crystalline NdCd3Rh at its relaxed geometry.

```
data_NdCd3Rh
_chemical_formula_sum 'Nd4 Cd12 Rh4'
_cell_length_a 5.487
_cell_length_b 5.487
_cell_length_c 18.761
_cell_angle_alpha 90.00
_cell_angle_beta 90.00
_cell_angle_gamma 90.00
_symmetry_space_group_name_H-M 'I -4 m 2'
_symmetry_Int_Tables_number 119
_symmetry_space_group_name_Hall 'I -4 -2'
loop_
_atom_site_label
_atom_site_fract_x
_atom_site_fract_y
_atom_site_fract_z
Nd1 0.000 0.000 0.209
Cd1 0.000 0.249 0.622
Cd2 0.000 0.500 0.031
Rh1 0.000 0.000 0.500
Rh2 0.000 0.500 0.750
```

**Raw total energy**: -3.0912 eV/atom
**DOS at the Fermi energy**: 11.0 states/eV/cell